This record from the Alexandria database describes a PBEsol-optimized structure of NaGa3Ru. The functional is SCAN.

Output
SG: Pm-3m, No. 221
formation enthalpy at 0 K: -0.306 eV per atom
uncorrected energy: -17.922 eV/atom
DOS at the Fermi energy: 0.208 states/eV/atom

Cell: 4.7515 4.7515 4.7515 Å, 90.00 90.00 90.00°
Closest atoms and distances in Å follow each position.
Positions (direct):
Na 0.0000 0.0000 0.0000  12 Ga 3.36
Ga 0.0000 0.5000 0.5000  2 Ru 2.38
Ga 0.5000 0.0000 0.5000  2 Ru 2.38
Ga 0.5000 0.5000 0.0000  2 Ru 2.38
Ru 0.5000 0.5000 0.5000  6 Ga 2.38